Arrangement i

This record from Alexandria describes a relaxed La6SmCd2 crystal. The functional is PBE.

As for the theoretical density: 6.6 g/cm3. Its density of states at the Fermi level is 22.61 states/eV/cell. The calculation puts the magnetic moment at 0.00 μB/atom.

It has space group C2/m (No. 12), with a = 13.1995 Å, b = 3.9160 Å, c = 12.4035 Å, α = 90.00°, β = 108.33° and γ = 90.00°. Symmetry generates all atoms from La at (0.0218, 0.0000, 0.3369), La at (0.1810, 0.5000, 0.8766), La at (0.1896, 0.5000, 0.5905), Sm at (0.0000, 0.0000, 0.0000) and Cd at (0.1440, 0.5000, 0.1967).

=====

Arrangement ii

This record from Alexandria describes a relaxed La6SmCd2 crystal. The functional is PBE.

As for the theoretical density: 6.8 g/cm3. Its density of states at the Fermi level is 51.32 states/eV/cell. The calculation puts the magnetic moment at 0.00 μB/atom.

It has space group C2/c (No. 15), with a = 16.4386 Å, b = 11.8402 Å, c = 6.1318 Å, α = 90.00°, β = 98.80° and γ = 90.00°. Symmetry generates all atoms from La at (0.0576, 0.1174, 0.0296), La at (0.1154, 0.3844, 0.3051), La at (0.2373, 0.3763, 0.8472), Sm at (0.0000, 0.3586, 0.7500) and Cd at (0.1571, 0.1367, 0.5931).

=====

The most stable of them is arrangement i.

=====

Arrangement i

This record from Alexandria describes a relaxed La4SmCd crystal. The functional is PBE.

As for the theoretical density: 6.6 g/cm3. Its density of states at the Fermi level is 8.16 states/eV/cell. The calculation puts the magnetic moment at 0.00 μB/atom.

It has space group P4/mmm (No. 123), with a = 3.7739 Å, b = 3.7739 Å, c = 14.3670 Å, α = 90.00°, β = 90.00° and γ = 90.00°. Symmetry generates all atoms from La at (0.0000, 0.0000, 0.1473), La at (0.5000, 0.5000, 0.3238), Sm at (0.0000, 0.0000, 0.5000) and Cd at (0.5000, 0.5000, 0.0000).

=====

Arrangement ii

This record from Alexandria describes a relaxed La4SmCd crystal. The functional is PBE.

As for the theoretical density: 6.7 g/cm3. Its density of states at the Fermi level is 32.54 states/eV/cell. The calculation puts the magnetic moment at 0.00 μB/atom.

It has space group Cmc2_1 (No. 36), with a = 5.8167 Å, b = 21.1393 Å, c = 6.6348 Å, α = 90.00°, β = 90.00° and γ = 90.00°. Symmetry generates all atoms from La at (0.0000, 0.0434, 0.0000), La at (0.0000, 0.1901, 0.8504), La at (0.0000, 0.2573, 0.2550), La at (0.0000, 0.4413, 0.1852), Sm at (0.0000, 0.3667, 0.6974) and Cd at (0.0000, 0.1101, 0.4429).

=====

The most stable of them is arrangement i.